An optimized crystal structure of SnB2OsO6, computed with PBE.

Output
ρ in g/cm³: 6.4
VASP energy in eV per atom: -7.410
Space group: R-3
Magnetic moment in μB/cell: 1.94

a = 5.9836 Å, b = 5.9836 Å, c = 5.9836 Å
α = 48.55°, β = 48.55°, γ = 48.55°
Closest atoms and distances in Å follow each position.
Sites, in units of the cell vectors:
1 B 0.2369 0.2369 0.2369  3 O 1.38
2 B 0.7631 0.7631 0.7631  3 O 1.38
3 O 0.7144 0.5050 0.0601  1 B 1.38
4 O 0.4950 0.9399 0.2856  1 B 1.38
5 O 0.9399 0.2856 0.4950  1 B 1.38
6 O 0.0601 0.7144 0.5050  1 B 1.38
7 O 0.5050 0.0601 0.7144  1 B 1.38
8 O 0.2856 0.4950 0.9399  1 B 1.38
9 Os 0.5000 0.5000 0.5000  6 O 2.01
10 Sn 0.0000 0.0000 0.0000  6 O 2.44